No. 1
LaSb2Rh at its PBEsol-relaxed geometry. Source: the Alexandria database, functional SCAN.

Cell lengths 9.463, 9.463, 9.463 Å; angles 149.12, 149.12, 44.23 degrees
Atoms (fractional coordinates):
La: 0.000 0.000 0.000
La: 0.750 0.250 0.500
Sb: 0.236 0.625 0.111
Sb: 0.375 0.486 0.611
Sb: 0.514 0.125 0.889
Sb: 0.875 0.764 0.389
Rh: 0.250 0.750 0.500
Rh: 0.500 0.500 0.000

**Space-group type**: I-42d, No. 122
**DFT total energy**: -307.07 eV for the cell shown
**ΔE_f (raw)**: -0.53 eV per atom

No. 2
AlSi2Te at its PBEsol-relaxed geometry. Source: the Alexandria database, functional SCAN.

Cell lengths 3.573, 4.216, 5.385 Å; angles 90.00, 90.00, 90.00 degrees
Atoms (fractional coordinates):
Al: 0.000 0.000 0.000
Si: 0.000 0.000 0.500
Si: 0.500 0.500 0.000
Te: 0.500 0.500 0.500

**Relative energy among the computed polymorphs**: 8.1 kJ per mole of atoms
**Space-group type**: Pmmm, No. 47
**DFT total energy**: -63.33 eV for the cell shown
**ΔE_f (raw)**: 0.43 eV per atom

no.,magnetization (μB per cell)
1,0.0
2,0.0